No. 1
{"formula": "Cs2Sb2Pb3", "functional": "PBE", "state": "relaxed", "cell": [[4.513, 0.000, 0.000], [-2.257, 7.825, -0.261], [0.000, -3.944, 8.377]], "species": ["Cs", "Cs", "Sb", "Sb", "Pb", "Pb", "Pb"], "fractional_positions": [[0.875, 0.750, 0.232], [0.125, 0.250, 0.768], [0.827, 0.654, 0.770], [0.173, 0.346, 0.230], [0.500, 0.000, 0.000], [0.622, 0.244, 0.396], [0.378, 0.756, 0.604]], "formation_energy_uncorrected_kcal_per_mol_atoms": -5.2, "mass_density_g_cm3": 6.45}

No. 2
{"formula": "SmYSN", "functional": "PBE", "state": "relaxed", "cell": [[-1.212, -2.657, -2.230], [1.678, -0.611, -3.211], [4.068, -5.254, 1.023]], "species": ["Sm", "Y", "S", "N"], "fractional_positions": [[0.263, 0.263, 0.210], [0.736, 0.736, 0.791], [0.497, 0.497, 0.508], [0.003, 0.003, 0.990]], "formation_energy_uncorrected_kcal_per_mol_atoms": -41.8, "mass_density_g_cm3": 6.35}

No. 3
{"formula": "Bi4PbAu2", "functional": "PBE", "state": "relaxed", "cell": [[5.734, 0.000, 0.000], [0.000, 5.568, -1.641], [0.000, -1.025, 6.697]], "species": ["Pb", "Au", "Au", "Bi", "Bi", "Bi", "Bi"], "fractional_positions": [[0.000, 0.000, 0.000], [0.500, 0.613, 0.224], [0.500, 0.387, 0.776], [0.500, 0.851, 0.704], [0.000, 0.682, 0.364], [0.500, 0.149, 0.296], [0.000, 0.318, 0.636]], "formation_energy_ev_per_atom": 0.067, "mass_density_g_cm3": 11.69}

> Which formula does entry 1 have?

Cs2Sb2Pb3